The following is a GGA-PBE calculation of a geometry-optimized NaBeAu structure, from Alexandria via LeMat-Bulk.

## Properties
The energy above the lowest structure with this stoichiometry comes out at 0 meV/atom. Its volume is 55 Å³/f.u. The space-group type is I4/mmm. Its calculated formation energy is -0.009 eV/atom. The magnetization is 0.00 μB/atom.

Lattice parameters (Å, degrees): 3.801 3.801 8.108 103.56 103.56 90.00
Sites, in units of the cell vectors:
Au 0.096 0.096 0.192
Au 0.904 0.904 0.808
Be 0.000 0.500 0.000
Be 0.500 0.000 0.000
Na 0.684 0.684 0.368
Na 0.316 0.316 0.632

***

The following is a GGA-PBE calculation of a geometry-optimized NaBe3Au10 structure, from Alexandria via LeMat-Bulk.

## Properties
Its volume is 236 Å³/f.u. The space-group type is Fm-3m. Its calculated formation energy is -0.171 eV/atom. The magnetization is 0.00 μB/atom.

Lattice parameters (Å, degrees): 8.739 8.739 8.739 60.00 60.00 60.00
Sites, in units of the cell vectors:
Na 0.250 0.250 0.250
Na 0.750 0.750 0.750
Be 0.730 0.730 0.270
Be 0.730 0.270 0.730
Be 0.270 0.730 0.730
Be 0.270 0.270 0.730
Be 0.730 0.270 0.270
Be 0.270 0.730 0.270
Au 0.000 0.000 0.338
Au 0.000 0.338 0.000
Au 0.338 0.000 0.000
Au 0.662 0.338 0.000
Au 0.384 0.384 0.384
Au 0.153 0.616 0.616
Au 0.384 0.847 0.384
Au 0.662 0.000 0.338
Au 0.384 0.384 0.847
Au 0.847 0.384 0.384
Au 0.616 0.616 0.153
Au 0.000 0.000 0.662
Au 0.338 0.662 0.000
Au 0.000 0.662 0.338
Au 0.000 0.338 0.662
Au 0.662 0.000 0.000
Au 0.616 0.616 0.616
Au 0.000 0.662 0.000
Au 0.616 0.153 0.616
Au 0.338 0.000 0.662

***

The following is a GGA-PBE calculation of a geometry-optimized NaBe2Au9 structure, from Alexandria via LeMat-Bulk.

## Properties
Its volume is 217 Å³/f.u. The space-group type is I4_1/amd. Its calculated formation energy is -0.066 eV/atom. The magnetization is 0.00 μB/atom.

Lattice parameters (Å, degrees): 6.955 8.628 8.628 80.65 66.23 66.23
Sites, in units of the cell vectors:
Na 0.500 0.000 0.000
Na 0.250 0.500 0.500
Be 0.875 0.250 0.750
Be 0.875 0.750 0.250
Be 0.875 0.250 0.250
Be 0.375 0.750 0.750
Au 0.750 0.500 0.500
Au 0.000 0.000 0.000
Au 0.999 0.929 0.686
Au 0.615 0.071 0.314
Au 0.679 0.186 0.571
Au 0.436 0.814 0.429
Au 0.751 0.814 0.571
Au 0.135 0.186 0.429
Au 0.071 0.929 0.314
Au 0.314 0.071 0.686
Au 0.751 0.571 0.814
Au 0.135 0.429 0.186
Au 0.071 0.314 0.929
Au 0.314 0.686 0.071
Au 0.999 0.686 0.929
Au 0.615 0.314 0.071
Au 0.679 0.571 0.186
Au 0.436 0.429 0.814